[1]
Computed, not measured: crystalline ZrTeBr3 at its relaxed geometry at the PBE-GGA level of DFT.

Cell lengths 6.549, 6.723, 7.887 Å; angles 90.16, 90.02, 100.62 degrees
Element x y z (fractional)
1 Zr 0.000 0.000 0.000
2 Zr 0.500 0.500 0.101
3 Te 0.363 0.209 0.808
4 Te 0.863 0.711 0.293
5 Br 0.190 0.666 0.943
6 Br 0.203 0.215 0.260
7 Br 0.384 0.708 0.357
8 Br 0.691 0.167 0.158
9 Br 0.702 0.713 0.840
10 Br 0.884 0.206 0.743

Properties
Uncorrected formation energy   -4.47 eV per formula unit
D(E_F)   1.4 states/eV/f.u.
Symmetry   P1



[2]
Computed, not measured: crystalline ZrTeBr at its relaxed geometry at the PBE-GGA level of DFT.

Cell lengths 5.046, 5.046, 5.046 Å; angles 60.00, 60.00, 60.00 degrees
Element x y z (fractional)
1 Zr 0.000 0.000 0.000
2 Te 0.750 0.750 0.750
3 Br 0.500 0.500 0.500

Properties
Uncorrected formation energy   0.11 eV per formula unit
D(E_F)   2.2 states/eV/f.u.
Symmetry   F-43m



[3]
Computed, not measured: crystalline ZrTeBr3 at its relaxed geometry at the PBE-GGA level of DFT.

Cell lengths 5.383, 5.383, 5.383 Å; angles 90.00, 90.00, 90.00 degrees
Element x y z (fractional)
1 Zr 0.000 0.000 0.000
2 Te 0.500 0.500 0.500
3 Br 0.000 0.000 0.500
4 Br 0.000 0.500 0.000
5 Br 0.500 0.000 0.000

Properties
Uncorrected formation energy   -2.24 eV per formula unit
D(E_F)   4.6 states/eV/f.u.
Symmetry   Pm-3m



[4]
Computed, not measured: crystalline Zr2TeBr at its relaxed geometry at the PBE-GGA level of DFT.

Cell lengths 3.710, 3.710, 7.912 Å; angles 90.00, 90.00, 90.00 degrees
Element x y z (fractional)
1 Zr 0.000 0.000 0.000
2 Zr 0.500 0.500 0.212
3 Te 0.500 0.500 0.827
4 Br 0.000 0.000 0.401

Properties
Uncorrected formation energy   -2.55 eV per formula unit
Relative energy among the computed polymorphs   81 meV per atom
D(E_F)   4.2 states/eV/f.u.
Symmetry   P4mm